(1)
Density functional theory data (PBE-GGA) for a relaxed GdURh2 crystal.

The crystal system is cubic. Its formation energy is -505 meV/atom.

It has space group Fm-3m (No. 225), with a = 6.8733 Å, b = 6.8733 Å, c = 6.8733 Å, α = 90.00°, β = 90.00° and γ = 90.00°. Symmetry generates all atoms from Gd at (0.0000, 0.0000, 0.0000), U at (0.0000, 0.0000, 0.5000) and Rh at (0.2500, 0.2500, 0.2500).



(2)
Density functional theory data (PBE-GGA) for a relaxed ScCdPb2 crystal.

The crystal system is monoclinic. Its formation energy is -46 meV/atom.

It has space group P2/m (No. 10), with a = 3.3083 Å, b = 5.2862 Å, c = 6.0958 Å, α = 90.00°, β = 91.98° and γ = 90.00°. Symmetry generates all atoms from Sc at (0.0000, 0.0000, 0.0000), Cd at (0.5000, 0.0000, 0.5000) and Pb at (0.3180, 0.5000, 0.7568).



(3)
Density functional theory data (PBE-GGA) for a relaxed Ca2Zn2Cu3 crystal.

The crystal system is monoclinic. Its formation energy is -161 meV/atom.

It has space group C2/m (No. 12), with a = 10.5394 Å, b = 4.0846 Å, c = 7.0170 Å, α = 90.00°, β = 117.03° and γ = 90.00°. Symmetry generates all atoms from Ca at (0.1365, 0.0000, 0.2549), Zn at (0.1318, 0.0000, 0.7026), Cu at (0.0000, 0.5000, 0.5000) and Cu at (0.1547, 0.5000, 0.9254).



(4)
Density functional theory data (PBE-GGA) for a relaxed Sn3OsC crystal.

The crystal system is cubic. Its formation energy is 1327 meV/atom.

It has space group Pm-3m (No. 221), with a = 4.5768 Å, b = 4.5768 Å, c = 4.5768 Å, α = 90.00°, β = 90.00° and γ = 90.00°. Symmetry generates all atoms from Sn at (0.0000, 0.0000, 0.5000), Os at (0.5000, 0.5000, 0.5000) and C at (0.0000, 0.0000, 0.0000).



(5)
Density functional theory data (PBE-GGA) for a relaxed Nd4HgSe3 crystal.

The formation energy without anion corrections comes out at -1507.3 meV/atom. The crystal system is tetragonal.

It has space group I4/mmm (No. 139), with a = 6.0746 Å, b = 6.0746 Å, c = 12.1014 Å, α = 90.00°, β = 90.00° and γ = 90.00°. Symmetry generates all atoms from Nd at (0.0000, 0.0000, 0.2431), Nd at (0.0000, 0.5000, 0.0000), Hg at (0.0000, 0.0000, 0.5000), Se at (0.0000, 0.0000, 0.0000) and Se at (0.0000, 0.5000, 0.2500).



(6)
Density functional theory data (PBE-GGA) for a relaxed Na8CdBi6 crystal.

The crystal system is trigonal. Its formation energy is -162 meV/atom.

It has space group R-3 (No. 148, hexagonal axes), with a = 9.7528 Å, b = 9.7528 Å, c = 18.5000 Å, α = 90.00°, β = 90.00° and γ = 120.00°. Symmetry generates all atoms from Na at (0.0000, 0.0000, 0.1148), Na at (0.0419, 0.2483, 0.6395), Cd at (0.0000, 0.0000, 0.5000) and Bi at (0.0157, 0.6498, 0.8596).



What did we get for density? Answer: 12.3, 8.9, 5.0, 9.7, 7.5, 5.1 g cm⁻³, in the order shown.